Record 1
A plane-wave DFT calculation with PBE was carried out for a geometry-optimized TlMoPt2 structure.

Cell lengths 2.8957, 2.8957, 8.5074 Å; angles 90.00, 90.00, 90.00 degrees
Fractional positions:
1 Tl 0.0000 0.0000 0.0000
2 Mo 0.0000 0.0000 0.5000
3 Pt 0.5000 0.5000 0.2844
4 Pt 0.5000 0.5000 0.7156

Summary:
- E above lowest polymorph: 0.00 eV per formula unit
- DOS at the Fermi energy: 4.8 states/eV per cell
- Total energy: -6.37 eV per atom
- Mass density: 16.07 Mg/m³
- Energy relative to the elements: -50 meV per atom

=====

Record 2
A plane-wave DFT calculation with PBE was carried out for a geometry-optimized Tl2MoPt structure.

Cell lengths 4.5635, 4.5635, 7.6380 Å; angles 90.00, 90.00, 90.00 degrees
Fractional positions:
1 Tl 0.0000 0.5000 0.2500
2 Tl 0.0000 0.5000 0.7500
3 Tl 0.5000 0.0000 0.2500
4 Tl 0.5000 0.0000 0.7500
5 Mo 0.0000 0.0000 0.0000
6 Mo 0.5000 0.5000 0.5000
7 Pt 0.0000 0.0000 0.5000
8 Pt 0.5000 0.5000 0.0000

Summary:
- E above lowest polymorph: 1.45 eV per formula unit
- DOS at the Fermi energy: 6.5 states/eV per cell
- Total energy: -4.78 eV per atom
- Mass density: 14.61 Mg/m³
- Energy relative to the elements: 619 meV per atom

=====

Record 3
A plane-wave DFT calculation with PBE was carried out for a geometry-optimized TlMoPt2 structure.

Cell lengths 2.9476, 2.9476, 27.9091 Å; angles 90.00, 90.00, 120.00 degrees
Fractional positions:
1 Tl 0.0000 0.0000 0.0000
2 Tl 0.3333 0.6667 0.6667
3 Tl 0.6667 0.3333 0.3333
4 Mo 0.0000 0.0000 0.7558
5 Mo 0.3333 0.6667 0.4225
6 Mo 0.6667 0.3333 0.0892
7 Pt 0.0000 0.0000 0.2470
8 Pt 0.0000 0.0000 0.4976
9 Pt 0.3333 0.6667 0.1642
10 Pt 0.3333 0.6667 0.9137
11 Pt 0.6667 0.3333 0.5803
12 Pt 0.6667 0.3333 0.8309

Summary:
- E above lowest polymorph: 1.19 eV per formula unit
- DOS at the Fermi energy: 11.9 states/eV per cell
- Total energy: -6.07 eV per atom
- Mass density: 16.38 Mg/m³
- Energy relative to the elements: 247 meV per atom

=====

Record 4
A plane-wave DFT calculation with PBE was carried out for a geometry-optimized TlMo4Pt structure.

Cell lengths 5.2873, 5.2873, 5.2873 Å; angles 60.00, 60.00, 60.00 degrees
Fractional positions:
1 Tl 0.0000 0.0000 0.0000
2 Mo 0.1250 0.6250 0.6250
3 Mo 0.6250 0.1250 0.6250
4 Mo 0.6250 0.6250 0.1250
5 Mo 0.6250 0.6250 0.6250
6 Pt 0.2500 0.2500 0.2500

Summary:
- DOS at the Fermi energy: 7.0 states/eV per cell
- Total energy: -8.14 eV per atom
- Mass density: 12.44 Mg/m³
- Energy relative to the elements: 484 meV per atom

=====

Record 5
A plane-wave DFT calculation with PBE was carried out for a geometry-optimized Tl2MoPt structure.

Cell lengths 2.9900, 4.9048, 11.5937 Å; angles 90.00, 90.00, 90.00 degrees
Fractional positions:
1 Tl 0.0000 0.0000 0.0000
2 Tl 0.0000 0.5000 0.2112
3 Tl 0.5000 0.0000 0.7112
4 Tl 0.5000 0.5000 0.5000
5 Mo 0.0000 0.5000 0.7310
6 Mo 0.5000 0.0000 0.2310
7 Pt 0.0000 0.0000 0.4201
8 Pt 0.5000 0.5000 0.9201

Summary:
- E above lowest polymorph: 0.70 eV per formula unit
- DOS at the Fermi energy: 4.5 states/eV per cell
- Total energy: -4.97 eV per atom
- Mass density: 13.67 Mg/m³
- Energy relative to the elements: 433 meV per atom

=====

Record 6
A plane-wave DFT calculation with PBE was carried out for a geometry-optimized TlMoPt2 structure.

Cell lengths 2.8489, 4.9689, 10.0078 Å; angles 90.00, 90.00, 90.00 degrees
Fractional positions:
1 Tl 0.0000 0.0000 0.0000
2 Tl 0.5000 0.5000 0.5000
3 Mo 0.0000 0.5000 0.7633
4 Mo 0.5000 0.0000 0.2633
5 Pt 0.0000 0.0000 0.4893
6 Pt 0.0000 0.5000 0.2394
7 Pt 0.5000 0.0000 0.7394
8 Pt 0.5000 0.5000 0.9893

Summary:
- E above lowest polymorph: 1.04 eV per formula unit
- DOS at the Fermi energy: 6.1 states/eV per cell
- Total energy: -6.11 eV per atom
- Mass density: 16.19 Mg/m³
- Energy relative to the elements: 211 meV per atom

=====

- Among the records above, which one has the highest energy relative to the elements?
  number 2